[1]
Entry from Alexandria via LeMat-Bulk: an optimized crystal structure of Cs2Ca3PaF12 (PBE-GGA).

Values from the calculation:
- E: -5.8221 eV per atom
- Theoretical density: 3.372 g/cm³
- Formation energy (no corrections): -3619 meV/atom

a b c (Å): 8.2174 8.2174 21.3475
angles (deg): 90.00 90.00 120.00
Space group R-3m (No. 166, hexagonal axes)
Unique sites:
Cs: 0.0000 0.0000 0.0891 x6
Ca: 0.0000 0.5000 0.0000 x9
Pa: 0.0000 0.0000 0.5000 x3
F: 0.0610 0.5305 0.3539 x18
F: 0.0804 0.5402 0.1072 x18

---

[2]
Entry from Alexandria via LeMat-Bulk: an optimized crystal structure of Cs2CaPbF6 (PBE-GGA).

Values from the calculation:
- E: -4.8571 eV per atom
- Theoretical density: 4.855 g/cm³
- Formation energy (no corrections): -2993 meV/atom

a b c (Å): 4.759 4.759 9.471
angles (deg): 90.00 90.00 90.00
Space group P4/mmm (No. 123)
Unique sites:
Cs: 0.000 0.000 0.240 x2
Ca: 0.500 0.500 0.000 x1
Pb: 0.500 0.500 0.500 x1
F: 0.000 0.500 0.000 x2
F: 0.000 0.500 0.500 x2
F: 0.500 0.500 0.236 x2

---

[3]
Entry from Alexandria via LeMat-Bulk: an optimized crystal structure of CsCaPb2F8 (PBE-GGA).

Values from the calculation:
- E: -4.7675 eV per atom
- Theoretical density: 5.816 g/cm³
- Formation energy (no corrections): -2664 meV/atom

a b c (Å): 4.219 6.080 8.229
angles (deg): 90.00 90.00 90.00
Space group Pmmm (No. 47)
Unique sites:
Cs: 0.000 0.000 0.000 x1
Ca: 0.000 0.000 0.500 x1
Pb: 0.500 0.500 0.258 x2
F: 0.000 0.274 0.291 x4
F: 0.500 0.229 0.500 x2
F: 0.500 0.302 0.000 x2

---

[4]
Entry from Alexandria via LeMat-Bulk: an optimized crystal structure of Cs3CaPd2F9 (PBE-GGA).

Values from the calculation:
- E: -4.4831 eV per atom
- Theoretical density: 5.098 g/cm³
- Formation energy (no corrections): -2364 meV/atom

a b c (Å): 6.3220 6.3220 7.7411
angles (deg): 90.00 90.00 120.00
Space group P-3m1 (No. 164)
Unique sites:
Cs: 0.0000 0.0000 0.0000 x1
Cs: 0.3333 0.6667 0.6677 x2
Ca: 0.0000 0.0000 0.5000 x1
Pd: 0.3333 0.6667 0.1580 x2
F: 0.0000 0.5000 0.0000 x3
F: 0.1683 0.3365 0.3275 x6

---

[5]
Entry from Alexandria via LeMat-Bulk: an optimized crystal structure of Cs2CaPdF (PBE-GGA).

Values from the calculation:
- E: -2.7825 eV per atom
- Theoretical density: 2.860 g/cm³
- Formation energy (no corrections): -628 meV/atom

a b c (Å): 6.759 6.759 5.482
angles (deg): 90.00 90.00 90.00
Space group P4/mmm (No. 123)
Unique sites:
Cs: 0.000 0.500 0.000 x2
Ca: 0.000 0.000 0.500 x1
Pd: 0.000 0.000 0.000 x1
F: 0.500 0.500 0.500 x1

---

[6]
Entry from Alexandria via LeMat-Bulk: an optimized crystal structure of Cs2CaPd3F12 (PBE-GGA).

Values from the calculation:
- E: -4.4144 eV per atom
- Theoretical density: 4.174 g/cm³
- Formation energy (no corrections): -2095 meV/atom

a b c (Å): 8.0520 8.0520 18.1350
angles (deg): 90.00 90.00 120.00
Space group R-3m (No. 166, hexagonal axes)
Unique sites:
Cs: 0.0000 0.0000 0.1250 x6
Ca: 0.0000 0.0000 0.5000 x3
Pd: 0.0000 0.5000 0.0000 x9
F: 0.0388 0.5194 0.1102 x18
F: 0.0843 0.5421 0.3438 x18

---

[7]
Entry from Alexandria via LeMat-Bulk: an optimized crystal structure of Cs2CaPdF6 (PBE-GGA).

Values from the calculation:
- E: -4.6004 eV per atom
- Theoretical density: 4.020 g/cm³
- Formation energy (no corrections): -2587 meV/atom

a b c (Å): 6.4942 6.4942 5.9519
angles (deg): 90.00 90.00 120.00
Space group P-3m1 (No. 164)
Unique sites:
Cs: 0.3333 0.6667 0.3274 x2
Ca: 0.0000 0.0000 0.0000 x1
Pd: 0.0000 0.0000 0.5000 x1
F: 0.1498 0.2996 0.7413 x6

---

[8]
Entry from Alexandria via LeMat-Bulk: an optimized crystal structure of Cs2CaPmF6 (PBE-GGA).

Values from the calculation:
- E: -5.2191 eV per atom
- Theoretical density: 4.539 g/cm³
- Formation energy (no corrections): -3250 meV/atom

a b c (Å): 6.983 9.292 6.370
angles (deg): 90.00 90.00 90.00
Space group Pmmn (No. 59, origin choice 2)
Unique sites:
Cs: 0.250 0.003 0.244 x4
Ca: 0.250 0.250 0.746 x2
Pm: 0.250 0.750 0.745 x2
F: 0.023 0.250 0.011 x4
F: 0.034 0.250 0.473 x4
F: 0.250 0.501 0.748 x4

---

[9]
Entry from Alexandria via LeMat-Bulk: an optimized crystal structure of CsCaPtF6 (PBE-GGA).

Values from the calculation:
- E: -4.6974 eV per atom
- Theoretical density: 4.109 g/cm³
- Formation energy (no corrections): -2461 meV/atom

a b c (Å): 5.824 5.846 6.470
angles (deg): 90.48 90.67 117.80
Space group P1 (No. 1)
Unique sites:
Cs: 0.000 0.000 0.000 x1
Ca: 0.330 0.671 0.500 x1
Pt: 0.671 0.328 0.501 x1
F: 0.002 0.615 0.294 x1
F: 0.382 0.339 0.333 x1
F: 0.387 0.997 0.708 x1
F: 0.649 0.026 0.333 x1
F: 0.661 0.615 0.668 x1
F: 0.976 0.351 0.668 x1

---

[10]
Entry from Alexandria via LeMat-Bulk: an optimized crystal structure of Cs2CaPuF6 (PBE-GGA).

Values from the calculation:
- E: -6.1065 eV per atom
- Theoretical density: 5.221 g/cm³
- Formation energy (no corrections): -3180 meV/atom

a b c (Å): 6.650 9.371 6.777
angles (deg): 90.00 90.00 90.00
Space group Pmmn (No. 59, origin choice 2)
Unique sites:
Cs: 0.250 0.002 0.231 x4
Ca: 0.250 0.750 0.760 x2
Pu: 0.250 0.250 0.721 x2
F: 0.001 0.250 0.008 x4
F: 0.014 0.750 0.513 x4
F: 0.250 0.506 0.775 x4

---

[11]
Entry from Alexandria via LeMat-Bulk: an optimized crystal structure of Cs2CaPu3F12 (PBE-GGA).

Values from the calculation:
- E: -7.2135 eV per atom
- Theoretical density: 5.109 g/cm³
- Formation energy (no corrections): -3371 meV/atom

a b c (Å): 8.2748 8.2748 20.8140
angles (deg): 90.00 90.00 120.00
Space group R-3m (No. 166, hexagonal axes)
Unique sites:
Cs: 0.0000 0.0000 0.1183 x6
Ca: 0.0000 0.0000 0.5000 x3
Pu: 0.0000 0.5000 0.0000 x9
F: 0.0383 0.5191 0.3634 x18
F: 0.0695 0.5348 0.1070 x18

---

[12]
Entry from Alexandria via LeMat-Bulk: an optimized crystal structure of Cs3RbCa2F9 (PBE-GGA).

Values from the calculation:
- E: -4.6358 eV per atom
- Theoretical density: 3.688 g/cm³
- Formation energy (no corrections): -3011 meV/atom

a b c (Å): 6.7350 6.7350 8.4277
angles (deg): 90.00 90.00 120.00
Space group P-3m1 (No. 164)
Unique sites:
Cs: 0.0000 0.0000 0.0000 x1
Cs: 0.3333 0.6667 0.6541 x2
Rb: 0.0000 0.0000 0.5000 x1
Ca: 0.3333 0.6667 0.1411 x2
F: 0.0000 0.5000 0.0000 x3
F: 0.1835 0.3669 0.3090 x6

---

[13]
Entry from Alexandria via LeMat-Bulk: an optimized crystal structure of Cs4RbCa3F12 (PBE-GGA).

Values from the calculation:
- E: -4.7534 eV per atom
- Theoretical density: 3.791 g/cm³
- Formation energy (no corrections): -3111 meV/atom

a b c (Å): 9.456 9.456 9.456
angles (deg): 90.00 90.00 90.00
Space group Im-3m (No. 229)
Unique sites:
Cs: 0.250 0.250 0.250 x8
Rb: 0.000 0.000 0.000 x2
Ca: 0.000 0.000 0.500 x6
F: 0.000 0.000 0.271 x12
F: 0.000 0.250 0.500 x12

---

[14]
Entry from Alexandria via LeMat-Bulk: an optimized crystal structure of CsRb2Ca2F7 (PBE-GGA).

Values from the calculation:
- E: -4.9937 eV per atom
- Theoretical density: 3.574 g/cm³
- Formation energy (no corrections): -3336 meV/atom

a b c (Å): 6.411 6.411 12.119
angles (deg): 90.00 105.32 90.00
Space group C2/m (No. 12)
Unique sites:
Cs: 0.000 0.000 0.000 x2
Rb: 0.187 0.000 0.375 x4
Ca: 0.098 0.500 0.198 x4
F: 0.000 0.500 0.000 x2
F: 0.151 0.250 0.801 x8
F: 0.195 0.500 0.391 x4

---

[15]
Entry from Alexandria via LeMat-Bulk: an optimized crystal structure of CsRbCaF4 (PBE-GGA).

Values from the calculation:
- E: -4.8530 eV per atom
- Theoretical density: 3.707 g/cm³
- Formation energy (no corrections): -3238 meV/atom

a b c (Å): 4.520 4.520 14.661
angles (deg): 90.00 90.00 90.00
Space group I4mm (No. 107)
Unique sites:
Cs: 0.000 0.000 0.000 x2
Rb: 0.000 0.000 0.703 x2
Ca: 0.000 0.000 0.348 x2
F: 0.000 0.000 0.195 x2
F: 0.000 0.000 0.505 x2
F: 0.000 0.500 0.345 x4

---

[16]
Entry from Alexandria via LeMat-Bulk: an optimized crystal structure of Cs2RbCa2F7 (PBE-GGA).

Values from the calculation:
- E: -4.9882 eV per atom
- Theoretical density: 3.786 g/cm³
- Formation energy (no corrections): -3340 meV/atom

a b c (Å): 4.535 4.535 24.079
angles (deg): 90.00 90.00 90.00
Space group I4/mmm (No. 139)
Unique sites:
Cs: 0.000 0.000 0.186 x4
Rb: 0.000 0.000 0.000 x2
Ca: 0.000 0.000 0.407 x4
F: 0.000 0.000 0.311 x4
F: 0.000 0.000 0.500 x2
F: 0.000 0.500 0.093 x8

---

[17]
Entry from Alexandria via LeMat-Bulk: an optimized crystal structure of CsCaRhF2 (PBE-GGA).

Values from the calculation:
- E: -4.4060 eV per atom
- Theoretical density: 4.676 g/cm³
- Formation energy (no corrections): -1616 meV/atom

a b c (Å): 4.411 4.411 5.729
angles (deg): 90.00 90.00 90.00
Space group P4/mmm (No. 123)
Unique sites:
Cs: 0.000 0.000 0.000 x1
Ca: 0.500 0.500 0.500 x1
Rh: 0.500 0.500 0.000 x1
F: 0.000 0.500 0.500 x2

---

[18]
Entry from Alexandria via LeMat-Bulk: an optimized crystal structure of CsCaRuF6 (PBE-GGA).

Values from the calculation:
- E: -5.2346 eV per atom
- Theoretical density: 3.425 g/cm³
- Formation energy (no corrections): -2639 meV/atom

a b c (Å): 5.7891 5.7891 6.4806
angles (deg): 90.00 90.00 120.00
Space group P312 (No. 149)
Unique sites:
Cs: 0.0000 0.0000 0.0000 x1
Ca: 0.3333 0.6667 0.5000 x1
Ru: 0.6667 0.3333 0.5000 x1
F: 0.3875 0.0333 0.6773 x6

---

[19]
Entry from Alexandria via LeMat-Bulk: an optimized crystal structure of CsCaSbF6 (PBE-GGA).

Values from the calculation:
- E: -4.9916 eV per atom
- Theoretical density: 3.397 g/cm³
- Formation energy (no corrections): -2969 meV/atom

a b c (Å): 5.954 6.209 6.233
angles (deg): 60.13 89.87 89.81
Space group P1 (No. 1)
Unique sites:
Cs: 0.000 0.000 0.000 x1
Ca: 0.530 0.334 0.332 x1
Sb: 0.490 0.666 0.667 x1
F: 0.339 0.337 0.023 x1
F: 0.340 0.023 0.640 x1
F: 0.343 0.645 0.336 x1
F: 0.712 0.431 0.610 x1
F: 0.713 0.609 0.958 x1
F: 0.713 0.957 0.433 x1